# 1
Entry from the Alexandria database: a relaxed TlFe3H crystal (PBE-GGA).

Values from the calculation:
- ΔE to the lowest computed polymorph: 1890 meV/atom
- Space-group type: No. 221

Unit cell a=5.049 b=5.049 c=5.049 alpha=90.00 beta=90.00 gamma=90.00
Sites, in units of the cell vectors:
Fe (0.000, 0.500, 0.000)
Fe (0.000, 0.000, 0.500)
Fe (0.500, 0.000, 0.000)
Tl (0.000, 0.000, 0.000)
H (0.500, 0.500, 0.500)

---

# 2
Entry from the Alexandria database: a relaxed TlFeH2 crystal (PBE-GGA).

Values from the calculation:
- E_tot: -3.99 eV per atom
- Space-group type: No. 141

Unit cell a=5.213 b=5.213 c=5.429 alpha=61.31 beta=61.31 gamma=90.00
Sites, in units of the cell vectors:
H (0.375, 0.625, 0.250)
H (0.875, 0.625, 0.750)
H (0.375, 0.125, 0.250)
H (0.375, 0.625, 0.750)
Tl (0.000, 0.000, 0.000)
Tl (0.750, 0.250, 0.500)
Fe (0.500, 0.500, 0.000)
Fe (0.250, 0.750, 0.500)

---

# 3
Entry from the Alexandria database: a relaxed Zr2TlFeH crystal (PBE-GGA).

Values from the calculation:
- E_tot: -6.36 eV per atom
- Space-group type: No. 123

Unit cell a=4.566 b=4.566 c=3.884 alpha=90.00 beta=90.00 gamma=90.00
Sites, in units of the cell vectors:
Zr (0.500, 0.000, 0.000)
Zr (0.000, 0.500, 0.000)
H (0.000, 0.000, 0.000)
Tl (0.500, 0.500, 0.500)
Fe (0.000, 0.000, 0.500)

---

# 4
Entry from the Alexandria database: a relaxed Tm3Fe5H12 crystal (PBE-GGA).

Values from the calculation:
- E_tot: -4.99 eV per atom
- Space-group type: No. 230

Unit cell a=9.553 b=9.553 c=9.553 alpha=109.47 beta=109.47 gamma=109.47
Sites, in units of the cell vectors:
Fe (0.000, 0.500, 0.500)
Fe (0.750, 0.125, 0.875)
Fe (0.375, 0.250, 0.125)
Fe (0.250, 0.875, 0.125)
Fe (0.625, 0.875, 0.250)
Fe (0.000, 0.000, 0.500)
Fe (0.000, 0.000, 0.000)
Fe (0.125, 0.375, 0.250)
Fe (0.500, 0.500, 0.500)
Fe (0.875, 0.250, 0.625)
Fe (0.125, 0.750, 0.375)
Fe (0.750, 0.625, 0.375)
Fe (0.500, 0.500, 0.000)
Fe (0.500, 0.000, 0.500)
Fe (0.250, 0.375, 0.625)
Fe (0.375, 0.125, 0.750)
Fe (0.625, 0.750, 0.875)
Fe (0.500, 0.000, 0.000)
Fe (0.875, 0.625, 0.750)
Fe (0.000, 0.500, 0.000)
H (0.193, 0.669, 0.084)
H (0.584, 0.693, 0.669)
H (0.024, 0.609, 0.693)
H (0.976, 0.391, 0.307)
H (0.693, 0.584, 0.169)
H (0.307, 0.891, 0.976)
H (0.916, 0.831, 0.807)
H (0.391, 0.976, 0.807)
H (0.109, 0.416, 0.085)
H (0.307, 0.416, 0.831)
H (0.415, 0.024, 0.331)
H (0.415, 0.391, 0.584)
H (0.609, 0.585, 0.916)
H (0.169, 0.085, 0.976)
H (0.085, 0.169, 0.476)
H (0.585, 0.976, 0.669)
H (0.085, 0.916, 0.109)
H (0.831, 0.916, 0.307)
H (0.416, 0.307, 0.331)
H (0.693, 0.109, 0.024)
H (0.331, 0.807, 0.416)
H (0.084, 0.169, 0.193)
H (0.584, 0.891, 0.415)
H (0.831, 0.915, 0.024)
H (0.416, 0.109, 0.585)
H (0.915, 0.084, 0.891)
H (0.609, 0.024, 0.193)
H (0.169, 0.084, 0.693)
H (0.891, 0.584, 0.915)
H (0.807, 0.331, 0.916)
H (0.669, 0.193, 0.584)
H (0.916, 0.085, 0.609)
H (0.585, 0.609, 0.416)
H (0.476, 0.807, 0.891)
H (0.669, 0.476, 0.585)
H (0.976, 0.585, 0.169)
H (0.024, 0.415, 0.831)
H (0.476, 0.669, 0.085)
H (0.524, 0.331, 0.915)
H (0.084, 0.915, 0.391)
H (0.193, 0.524, 0.609)
H (0.331, 0.524, 0.415)
H (0.807, 0.476, 0.391)
H (0.915, 0.831, 0.524)
H (0.109, 0.693, 0.524)
H (0.391, 0.415, 0.084)
H (0.891, 0.307, 0.476)
H (0.524, 0.193, 0.109)
Tm (0.625, 0.375, 0.750)
Tm (0.875, 0.750, 0.125)
Tm (0.125, 0.875, 0.750)
Tm (0.750, 0.375, 0.125)
Tm (0.625, 0.250, 0.375)
Tm (0.375, 0.625, 0.250)
Tm (0.375, 0.750, 0.625)
Tm (0.250, 0.625, 0.875)
Tm (0.750, 0.875, 0.625)
Tm (0.250, 0.125, 0.375)
Tm (0.125, 0.250, 0.875)
Tm (0.875, 0.125, 0.250)

---

# 5
Entry from the Alexandria database: a relaxed Tm12Fe3H5 crystal (PBE-GGA).

Values from the calculation:
- E_tot: -4.95 eV per atom
- Space-group type: No. 230

Unit cell a=12.691 b=12.691 c=12.691 alpha=109.47 beta=109.47 gamma=109.47
Sites, in units of the cell vectors:
Tm (0.094, 0.188, 0.470)
Tm (0.312, 0.530, 0.406)
Tm (0.406, 0.282, 0.312)
Tm (0.624, 0.030, 0.218)
Tm (0.030, 0.624, 0.718)
Tm (0.906, 0.812, 0.530)
Tm (0.688, 0.470, 0.594)
Tm (0.094, 0.906, 0.376)
Tm (0.218, 0.530, 0.624)
Tm (0.530, 0.312, 0.906)
Tm (0.188, 0.094, 0.970)
Tm (0.970, 0.376, 0.282)
Tm (0.782, 0.470, 0.376)
Tm (0.624, 0.594, 0.906)
Tm (0.876, 0.282, 0.470)
Tm (0.094, 0.906, 0.124)
Tm (0.530, 0.218, 0.124)
Tm (0.782, 0.312, 0.906)
Tm (0.282, 0.876, 0.970)
Tm (0.594, 0.876, 0.406)
Tm (0.812, 0.906, 0.030)
Tm (0.406, 0.376, 0.594)
Tm (0.094, 0.188, 0.218)
Tm (0.188, 0.094, 0.718)
Tm (0.594, 0.970, 0.688)
Tm (0.718, 0.594, 0.188)
Tm (0.906, 0.812, 0.782)
Tm (0.218, 0.688, 0.094)
Tm (0.312, 0.782, 0.406)
Tm (0.030, 0.406, 0.812)
Tm (0.718, 0.124, 0.030)
Tm (0.594, 0.718, 0.688)
Tm (0.406, 0.030, 0.312)
Tm (0.594, 0.624, 0.406)
Tm (0.376, 0.406, 0.094)
Tm (0.876, 0.594, 0.906)
Tm (0.470, 0.688, 0.094)
Tm (0.470, 0.782, 0.876)
Tm (0.282, 0.406, 0.812)
Tm (0.124, 0.718, 0.530)
Tm (0.376, 0.970, 0.782)
Tm (0.970, 0.594, 0.188)
Tm (0.906, 0.094, 0.624)
Tm (0.688, 0.218, 0.594)
Tm (0.812, 0.906, 0.282)
Tm (0.906, 0.094, 0.876)
Tm (0.406, 0.124, 0.594)
Tm (0.124, 0.406, 0.094)
Fe (0.625, 0.250, 0.375)
Fe (0.125, 0.250, 0.875)
Fe (0.625, 0.375, 0.750)
Fe (0.375, 0.625, 0.250)
Fe (0.875, 0.750, 0.125)
Fe (0.375, 0.750, 0.625)
Fe (0.250, 0.625, 0.875)
Fe (0.125, 0.875, 0.750)
Fe (0.750, 0.875, 0.625)
Fe (0.250, 0.125, 0.375)
Fe (0.750, 0.375, 0.125)
Fe (0.875, 0.125, 0.250)
H (0.875, 0.625, 0.750)
H (0.500, 0.500, 0.000)
H (0.625, 0.750, 0.875)
H (0.250, 0.875, 0.125)
H (0.750, 0.125, 0.875)
H (0.000, 0.500, 0.500)
H (0.125, 0.375, 0.250)
H (0.500, 0.500, 0.500)
H (0.375, 0.125, 0.750)
H (0.500, 0.000, 0.000)
H (0.000, 0.500, 0.000)
H (0.125, 0.750, 0.375)
H (0.000, 0.000, 0.500)
H (0.750, 0.625, 0.375)
H (0.500, 0.000, 0.500)
H (0.000, 0.000, 0.000)
H (0.250, 0.375, 0.625)
H (0.375, 0.250, 0.125)
H (0.875, 0.250, 0.625)
H (0.625, 0.875, 0.250)

---

# 6
Entry from the Alexandria database: a relaxed TmFe2H7 crystal (PBE-GGA).

Values from the calculation:
- E_tot: -4.64 eV per atom
- Space-group type: No. 65

Unit cell a=3.421 b=5.117 c=4.730 alpha=122.74 beta=90.00 gamma=90.00
Sites, in units of the cell vectors:
Fe (0.500, 0.298, 0.596)
Fe (0.500, 0.702, 0.404)
Tm (0.000, 0.000, 0.000)
H (0.000, 0.703, 0.406)
H (0.500, 0.058, 0.730)
H (0.500, 0.328, 0.270)
H (0.000, 0.297, 0.594)
H (0.500, 0.500, 0.000)
H (0.500, 0.942, 0.270)
H (0.500, 0.672, 0.730)

---

# 7
Entry from the Alexandria database: a relaxed TmZnFe2H8 crystal (PBE-GGA).

Values from the calculation:
- E_tot: -3.95 eV per atom
- Space-group type: No. 164

Unit cell a=4.426 b=4.426 c=6.297 alpha=90.00 beta=90.00 gamma=120.00
Sites, in units of the cell vectors:
H (0.145, 0.290, 0.776)
H (0.145, 0.855, 0.776)
H (0.290, 0.145, 0.224)
H (0.710, 0.855, 0.776)
H (0.855, 0.145, 0.224)
H (0.855, 0.710, 0.224)
H (0.333, 0.667, 0.585)
H (0.667, 0.333, 0.415)
Fe (0.333, 0.667, 0.834)
Fe (0.667, 0.333, 0.166)
Zn (0.000, 0.000, 0.000)
Tm (0.000, 0.000, 0.500)

---

# 8
Entry from the Alexandria database: a relaxed UFeH crystal (PBE-GGA).

Values from the calculation:
- ΔE to the lowest computed polymorph: 35 meV/atom
- Space-group type: No. 2

Unit cell a=3.104 b=5.201 c=5.421 alpha=121.09 beta=89.43 gamma=107.92
Sites, in units of the cell vectors:
U (0.140, 0.040, 0.481)
U (0.325, 0.456, 0.246)
Fe (0.809, 0.469, 0.786)
Fe (0.656, 0.027, 0.941)
H (0.562, 0.777, 0.063)
H (0.903, 0.720, 0.664)

---

- Number 7 is which compound?
  TmZnFe2H8

---

Copy entry 5 word for word.
Entry from the Alexandria database: a relaxed Tm12Fe3H5 crystal (PBE-GGA).

Values from the calculation:
- E_tot: -4.95 eV per atom
- Space-group type: No. 230

Unit cell a=12.691 b=12.691 c=12.691 alpha=109.47 beta=109.47 gamma=109.47
Sites, in units of the cell vectors:
Tm (0.094, 0.188, 0.470)
Tm (0.312, 0.530, 0.406)
Tm (0.406, 0.282, 0.312)
Tm (0.624, 0.030, 0.218)
Tm (0.030, 0.624, 0.718)
Tm (0.906, 0.812, 0.530)
Tm (0.688, 0.470, 0.594)
Tm (0.094, 0.906, 0.376)
Tm (0.218, 0.530, 0.624)
Tm (0.530, 0.312, 0.906)
Tm (0.188, 0.094, 0.970)
Tm (0.970, 0.376, 0.282)
Tm (0.782, 0.470, 0.376)
Tm (0.624, 0.594, 0.906)
Tm (0.876, 0.282, 0.470)
Tm (0.094, 0.906, 0.124)
Tm (0.530, 0.218, 0.124)
Tm (0.782, 0.312, 0.906)
Tm (0.282, 0.876, 0.970)
Tm (0.594, 0.876, 0.406)
Tm (0.812, 0.906, 0.030)
Tm (0.406, 0.376, 0.594)
Tm (0.094, 0.188, 0.218)
Tm (0.188, 0.094, 0.718)
Tm (0.594, 0.970, 0.688)
Tm (0.718, 0.594, 0.188)
Tm (0.906, 0.812, 0.782)
Tm (0.218, 0.688, 0.094)
Tm (0.312, 0.782, 0.406)
Tm (0.030, 0.406, 0.812)
Tm (0.718, 0.124, 0.030)
Tm (0.594, 0.718, 0.688)
Tm (0.406, 0.030, 0.312)
Tm (0.594, 0.624, 0.406)
Tm (0.376, 0.406, 0.094)
Tm (0.876, 0.594, 0.906)
Tm (0.470, 0.688, 0.094)
Tm (0.470, 0.782, 0.876)
Tm (0.282, 0.406, 0.812)
Tm (0.124, 0.718, 0.530)
Tm (0.376, 0.970, 0.782)
Tm (0.970, 0.594, 0.188)
Tm (0.906, 0.094, 0.624)
Tm (0.688, 0.218, 0.594)
Tm (0.812, 0.906, 0.282)
Tm (0.906, 0.094, 0.876)
Tm (0.406, 0.124, 0.594)
Tm (0.124, 0.406, 0.094)
Fe (0.625, 0.250, 0.375)
Fe (0.125, 0.250, 0.875)
Fe (0.625, 0.375, 0.750)
Fe (0.375, 0.625, 0.250)
Fe (0.875, 0.750, 0.125)
Fe (0.375, 0.750, 0.625)
Fe (0.250, 0.625, 0.875)
Fe (0.125, 0.875, 0.750)
Fe (0.750, 0.875, 0.625)
Fe (0.250, 0.125, 0.375)
Fe (0.750, 0.375, 0.125)
Fe (0.875, 0.125, 0.250)
H (0.875, 0.625, 0.750)
H (0.500, 0.500, 0.000)
H (0.625, 0.750, 0.875)
H (0.250, 0.875, 0.125)
H (0.750, 0.125, 0.875)
H (0.000, 0.500, 0.500)
H (0.125, 0.375, 0.250)
H (0.500, 0.500, 0.500)
H (0.375, 0.125, 0.750)
H (0.500, 0.000, 0.000)
H (0.000, 0.500, 0.000)
H (0.125, 0.750, 0.375)
H (0.000, 0.000, 0.500)
H (0.750, 0.625, 0.375)
H (0.500, 0.000, 0.500)
H (0.000, 0.000, 0.000)
H (0.250, 0.375, 0.625)
H (0.375, 0.250, 0.125)
H (0.875, 0.250, 0.625)
H (0.625, 0.875, 0.250)